Entry from Alexandria via LeMat-Bulk: a relaxed CuHOs3 crystal (PBE).

For the energy, the calculation gives -7.628 eV/atom. The energy above the most stable polymorph in this dataset comes out at 0 meV/atom. Its density of states at the Fermi level is 6.46 states/eV/cell. The magnetization comes out at 0.00 μB/f.u.

The structure belongs to space group Pm-3m (No. 221); the cell edges are 3.887, 3.887 and 3.887 Å and the angles 90.00°, 90.00° and 90.00°. The distinct sites, in fractional coordinates, are Cu at (0.000, 0.000, 0.000), H at (0.500, 0.500, 0.500) and Os at (0.000, 0.500, 0.500).



Entry from Alexandria via LeMat-Bulk: a relaxed CuH2Os crystal (PBE).

For the energy, the calculation gives -4.633 eV/atom. The energy above the most stable polymorph in this dataset comes out at 405 meV/atom. Its density of states at the Fermi level is 9.41 states/eV/cell. The magnetization comes out at 0.00 μB/f.u.

The structure belongs to space group Fm-3m (No. 225); the cell edges are 5.085, 5.085 and 5.085 Å and the angles 90.00°, 90.00° and 90.00°. The distinct sites, in fractional coordinates, are Cu at (0.000, 0.000, 0.000), H at (0.250, 0.250, 0.250) and Os at (0.000, 0.000, 0.500).



Entry from Alexandria via LeMat-Bulk: a relaxed Cu5H12Os3 crystal (PBE).

For the energy, the calculation gives -4.363 eV/atom. Its density of states at the Fermi level is 36.02 states/eV/cell. The magnetization comes out at 0.00 μB/f.u.

The structure belongs to space group Ia-3d (No. 230); the cell edges are 10.573, 10.573 and 10.573 Å and the angles 90.00°, 90.00° and 90.00°. The distinct sites, in fractional coordinates, are Cu at (0.000, 0.000, 0.000), Cu at (0.000, 0.250, 0.375), H at (0.011, 0.074, 0.657) and Os at (0.000, 0.250, 0.125).



Entry from Alexandria via LeMat-Bulk: a relaxed Cu3HOs crystal (PBE).

For the energy, the calculation gives -3.495 eV/atom. The energy above the most stable polymorph in this dataset comes out at 1396 meV/atom. Its density of states at the Fermi level is 4.55 states/eV/cell. The magnetization comes out at 2.26 μB/f.u.

The structure belongs to space group Pm-3m (No. 221); the cell edges are 4.722, 4.722 and 4.722 Å and the angles 90.00°, 90.00° and 90.00°. The distinct sites, in fractional coordinates, are Cu at (0.000, 0.000, 0.500), H at (0.500, 0.500, 0.500) and Os at (0.000, 0.000, 0.000).